[1]
TmPaPd2O8 | GGA-PBE | optimized geometry

As for the crystal system: tetragonal. The total energy comes out at -7.0444 eV/atom. The formation energy from raw total energies comes out at -1709.6 meV per atom. The density of states at the Fermi level is 1.28 states/eV/f.u.

It has space group I-4m2 (No. 119), with a = 7.031 Å, b = 7.031 Å, c = 6.925 Å, α = 90.00°, β = 90.00° and γ = 90.00°. The distinct sites, in fractional coordinates, are Tm at (0.000, 0.000, 0.000), Pa at (0.000, 0.500, 0.250), Pd at (0.000, 0.000, 0.500), Pd at (0.000, 0.500, 0.750), O at (0.000, 0.180, 0.285) and O at (0.000, 0.324, 0.967).

[2]
IrPtAu2 | GGA-PBE | optimized geometry

The calculation puts the formation energy from the elements at 0.255 eV per atom. As for the crystal system: orthorhombic. The total energy comes out at -5.1087 eV/atom. For the energy above the most stable polymorph in this dataset, the calculation gives 90 meV/atom. The density of states at the Fermi level is 3.28 states/eV/f.u.

It has space group Pmmm (No. 47), with a = 2.783 Å, b = 4.889 Å, c = 4.899 Å, α = 90.00°, β = 90.00° and γ = 90.00°. The distinct sites, in fractional coordinates, are Ir at (0.000, 0.000, 0.000), Pt at (0.500, 0.500, 0.000), Au at (0.000, 0.500, 0.500) and Au at (0.500, 0.000, 0.500).

[3]
Gd2AlBr | GGA-PBE | optimized geometry

As for the crystal system: tetragonal. The total energy comes out at -9.1094 eV/atom. For the energy above the most stable polymorph in this dataset, the calculation gives 0 meV/atom. The formation energy from raw total energies comes out at -715.1 meV per atom. The density of states at the Fermi level is 2.79 states/eV/f.u.

It has space group P4/mmm (No. 123), with a = 3.464 Å, b = 3.464 Å, c = 8.359 Å, α = 90.00°, β = 90.00° and γ = 90.00°. The distinct sites, in fractional coordinates, are Gd at (0.000, 0.000, 0.232), Al at (0.500, 0.500, 0.000) and Br at (0.500, 0.500, 0.500).

[4]
PrZr2Mn | GGA-PBE | optimized geometry

The calculation puts the formation energy from the elements at 0.372 eV per atom. As for the crystal system: trigonal. The total energy comes out at -7.3898 eV/atom. The density of states at the Fermi level is 5.70 states/eV/f.u.

It has space group R-3m (No. 166, hexagonal axes), with a = 3.2648 Å, b = 3.2648 Å, c = 30.5858 Å, α = 90.00°, β = 90.00° and γ = 120.00°. The distinct sites, in fractional coordinates, are Pr at (0.0000, 0.0000, 0.0000), Zr at (0.0000, 0.0000, 0.1067) and Mn at (0.0000, 0.0000, 0.5000).